Compound: Na3PrSm2Te6
Source: the Alexandria database
Functional: PBE-GGA
Structure: relaxed

Cell lengths 7.846, 7.846, 8.009 Å; angles 99.40, 99.40, 120.02 degrees
Fractional positions:
Sm  0.333  0.667  0.000
Te  0.921  0.583  0.762
Te  0.583  0.921  0.762
Te  0.742  0.742  0.238
Na  0.834  0.166  0.500
Te  0.417  0.079  0.238
Na  0.166  0.834  0.500
Te  0.258  0.258  0.762
Te  0.079  0.417  0.238
Na  0.500  0.500  0.500
Pr  0.000  0.000  0.000
Sm  0.667  0.333  0.000

## Properties
**Crystal system**: monoclinic
**Final energy**: -52.96 eV/f.u.
**Total magnetization**: 0.00 Bohr magnetons per cell
**Space-group type**: C2/m
**Formation energy from raw total energies**: -1328 meV/atom
**Calculated volume**: 33.63 Å³/atom

Compound: NaPr2Sm3Te6
Source: the Alexandria database
Functional: PBE-GGA
Structure: relaxed

Cell lengths 4.469, 9.024, 10.060 Å; angles 103.18, 102.83, 90.00 degrees
Fractional positions:
Pr  0.170  0.342  0.340
Sm  0.834  0.172  0.667
Sm  0.500  0.500  0.000
Te  0.663  0.588  0.327
Te  0.000  0.250  0.000
Sm  0.166  0.828  0.333
Te  0.667  0.079  0.334
Te  0.333  0.921  0.666
Na  0.500  0.000  0.000
Te  0.000  0.750  0.000
Pr  0.830  0.658  0.660
Te  0.337  0.412  0.673

## Properties
**Crystal system**: monoclinic
**Final energy**: -60.63 eV/f.u.
**Total magnetization**: 0.00 Bohr magnetons per cell
**Space-group type**: C2/m
**Formation energy from raw total energies**: -1395 meV/atom
**Calculated volume**: 32.05 Å³/atom